No. 1
Density functional theory data (GGA-PBEsol) for a relaxed Os2PtCF crystal.

Cell lengths 3.962, 3.962, 4.571 Å; angles 90.00, 90.00, 90.00 degrees
Sites, in units of the cell vectors:
C  0.500  0.500  0.500
Os  0.000  0.500  0.000
Os  0.500  0.000  0.000
Pt  0.000  0.000  0.500
F  0.000  0.000  0.000

Summary:
Total energy in eV per atom: -5.79
Theoretical density in Mg/m³: 14.036
Symmetry: P4/mmm

---

No. 2
Density functional theory data (GGA-PBEsol) for a relaxed CoCu2W crystal.

Cell lengths 2.533, 4.220, 4.646 Å; angles 90.00, 100.90, 90.00 degrees
Sites, in units of the cell vectors:
Co  0.000  0.500  0.500
Cu  0.823  0.000  0.738
Cu  0.177  0.000  0.262
W  0.500  0.500  0.000

Summary:
Total energy in eV per atom: -7.26
Energy above the lowest structure with this stoichiometry in meV per atom: 0
Theoretical density in Mg/m³: 12.595
ΔE_f in meV/atom: 291
Symmetry: P2/m

---

No. 3
Density functional theory data (GGA-PBEsol) for a relaxed Y2AlP crystal.

Cell lengths 4.576, 5.171, 4.576 Å; angles 116.26, 90.00, 116.26 degrees
Sites, in units of the cell vectors:
Y  0.750  0.500  0.250
Y  0.250  0.500  0.750
P  0.000  0.000  0.000
Al  0.500  0.000  0.500

Summary:
Total energy in eV per atom: -6.47
Energy above the lowest structure with this stoichiometry in meV per atom: 55
Theoretical density in Mg/m³: 4.634
ΔE_f in meV/atom: -588
Symmetry: I4/mmm

---

No. 4
Density functional theory data (GGA-PBEsol) for a relaxed SnP2CS crystal.

Cell lengths 4.861, 5.024, 5.024 Å; angles 90.00, 90.00, 90.00 degrees
Sites, in units of the cell vectors:
C  0.500  0.500  0.500
P  0.000  0.000  0.500
P  0.000  0.500  0.000
S  0.500  0.000  0.000
Sn  0.000  0.000  0.000

Summary:
Total energy in eV per atom: -3.59
Theoretical density in Mg/m³: 3.041
Symmetry: P4/mmm

---

No. 5
Density functional theory data (GGA-PBEsol) for a relaxed Sb16Cl4O21 crystal.

Cell lengths 8.199, 9.641, 10.017 Å; angles 109.76, 88.27, 101.42 degrees
Sites, in units of the cell vectors:
Sb  0.770  0.032  0.711
Sb  0.255  0.036  0.712
Sb  0.476  0.153  0.964
Sb  0.003  0.189  0.007
Sb  0.948  0.447  0.822
Sb  0.376  0.439  0.834
Sb  0.812  0.357  0.352
Sb  0.366  0.367  0.374
Sb  0.689  0.641  0.644
Sb  0.142  0.643  0.629
Sb  0.129  0.564  0.161
Sb  0.556  0.546  0.169
Sb  0.969  0.831  0.019
Sb  0.473  0.827  0.016
Sb  0.739  0.971  0.300
Sb  0.242  0.980  0.299
Cl  0.553  0.248  0.524
Cl  0.044  0.256  0.519
Cl  0.471  0.744  0.476
Cl  0.959  0.747  0.470
O  0.527  0.053  0.760
O  0.027  0.085  0.792
O  0.782  0.174  0.920
O  0.539  0.379  0.976
O  0.112  0.390  0.968
O  0.780  0.146  0.229
O  0.287  0.163  0.241
O  0.183  0.551  0.792
O  0.592  0.389  0.274
O  0.946  0.398  0.190
O  0.911  0.604  0.719
O  0.557  0.597  0.803
O  0.320  0.452  0.210
O  0.739  0.850  0.769
O  0.209  0.846  0.765
O  0.943  0.611  0.014
O  0.390  0.610  0.034
O  0.712  0.822  0.094
O  0.218  0.848  0.089
O  0.983  0.935  0.231
O  0.484  0.931  0.229

Summary:
Total energy in eV per atom: -5.89
Theoretical density in Mg/m³: 5.519
Symmetry: P1

---

No. 6
Density functional theory data (GGA-PBEsol) for a relaxed MnCo2As crystal.

Cell lengths 3.363, 3.663, 3.663 Å; angles 90.00, 90.00, 90.00 degrees
Sites, in units of the cell vectors:
As  0.500  0.000  0.000
Mn  0.500  0.500  0.500
Co  0.000  0.000  0.500
Co  0.000  0.500  0.000

Summary:
Total energy in eV per atom: -7.68
Theoretical density in Mg/m³: 9.115
ΔE_f in meV/atom: -99
Symmetry: P4/mmm

---

No. 7
Density functional theory data (GGA-PBEsol) for a relaxed ZrTlTe3 crystal.

Cell lengths 5.572, 5.572, 5.572 Å; angles 90.00, 90.00, 90.00 degrees
Sites, in units of the cell vectors:
Tl  0.500  0.500  0.500
Te  0.000  0.500  0.000
Te  0.000  0.000  0.500
Te  0.500  0.000  0.000
Zr  0.000  0.000  0.000

Summary:
Total energy in eV per atom: -4.83
Theoretical density in Mg/m³: 6.511
Symmetry: Pm-3m

---

No. 8
Density functional theory data (GGA-PBEsol) for a relaxed Ti3CoNi2P6O24 crystal.

Cell lengths 8.366, 8.366, 8.366 Å; angles 61.41, 61.41, 61.41 degrees
Sites, in units of the cell vectors:
Ti  0.859  0.859  0.859
Ti  0.643  0.643  0.643
Ti  0.358  0.358  0.358
Co  0.141  0.141  0.141
Ni  0.001  0.001  0.001
Ni  0.502  0.502  0.502
P  0.454  0.046  0.751
P  0.046  0.751  0.454
P  0.751  0.454  0.046
P  0.248  0.542  0.956
P  0.956  0.248  0.542
P  0.542  0.956  0.248
O  0.669  0.514  0.888
O  0.514  0.888  0.669
O  0.088  0.743  0.948
O  0.888  0.669  0.514
O  0.182  0.387  0.988
O  0.408  0.569  0.755
O  0.948  0.088  0.743
O  0.755  0.408  0.569
O  0.619  0.999  0.819
O  0.569  0.755  0.408
O  0.259  0.048  0.909
O  0.999  0.819  0.619
O  0.988  0.182  0.387
O  0.743  0.948  0.088
O  0.442  0.245  0.591
O  0.387  0.988  0.182
O  0.245  0.591  0.442
O  0.048  0.909  0.259
O  0.591  0.442  0.245
O  0.819  0.619  0.999
O  0.118  0.319  0.494
O  0.909  0.259  0.048
O  0.494  0.118  0.319
O  0.319  0.494  0.118

Summary:
Total energy in eV per atom: -7.87
Theoretical density in Mg/m³: 3.459
Symmetry: R3

---

No. 9
Density functional theory data (GGA-PBEsol) for a relaxed TiOsO2 crystal.

Cell lengths 3.399, 3.399, 5.416 Å; angles 71.71, 71.71, 60.00 degrees
Sites, in units of the cell vectors:
Os  0.500  0.500  0.500
O  0.874  0.874  0.377
O  0.126  0.126  0.623
Ti  0.000  0.000  0.000

Summary:
Total energy in eV per atom: -8.52
Theoretical density in Mg/m³: 8.882
Symmetry: R-3m

---

No. 10
Density functional theory data (GGA-PBEsol) for a relaxed Cr2WCl crystal.

Cell lengths 3.983, 4.513, 3.983 Å; angles 63.81, 90.00, 116.19 degrees
Sites, in units of the cell vectors:
Cr  0.250  0.500  0.250
Cr  0.750  0.500  0.750
W  0.500  0.000  0.500
Cl  0.000  0.000  0.000

Summary:
Total energy in eV per atom: -7.98
Energy above the lowest structure with this stoichiometry in meV per atom: 567
Theoretical density in Mg/m³: 9.596
Symmetry: I4/mmm

---

No. 11
Density functional theory data (GGA-PBEsol) for a relaxed SrBePO2 crystal.

Cell lengths 3.968, 4.036, 4.036 Å; angles 90.00, 90.00, 90.00 degrees
Sites, in units of the cell vectors:
Sr  0.500  0.500  0.500
Be  0.000  0.000  0.000
O  0.000  0.000  0.500
O  0.000  0.500  0.000
P  0.500  0.000  0.000

Summary:
Total energy in eV per atom: -5.25
Theoretical density in Mg/m³: 4.099
Symmetry: P4/mmm

---

No. 12
Density functional theory data (GGA-PBEsol) for a relaxed HfZrOs2 crystal.

Cell lengths 4.569, 4.569, 4.569 Å; angles 60.00, 60.00, 60.00 degrees
Sites, in units of the cell vectors:
Hf  0.500  0.500  0.500
Os  0.250  0.250  0.250
Os  0.750  0.750  0.750
Zr  0.000  0.000  0.000

Summary:
Total energy in eV per atom: -11.63
Theoretical density in Mg/m³: 16.006
ΔE_f in meV/atom: -623
Symmetry: Fm-3m

---

No. 13
Density functional theory data (GGA-PBEsol) for a relaxed ZrInIr2 crystal.

Cell lengths 3.656, 4.285, 4.285 Å; angles 90.00, 90.00, 90.00 degrees
Sites, in units of the cell vectors:
Ir  0.000  0.000  0.500
Ir  0.000  0.500  0.000
Zr  0.500  0.500  0.500
In  0.500  0.000  0.000

Summary:
Total energy in eV per atom: -8.49
Theoretical density in Mg/m³: 14.605
ΔE_f in meV/atom: -558
Symmetry: P4/mmm

---

No. 14
Density functional theory data (GGA-PBEsol) for a relaxed AlFeAg2 crystal.

Cell lengths 2.861, 4.589, 5.264 Å; angles 115.84, 105.77, 90.00 degrees
Sites, in units of the cell vectors:
Fe  0.237  0.737  0.474
Ag  0.991  0.991  0.982
Ag  0.762  0.262  0.524
Al  0.510  0.510  0.020

Summary:
Total energy in eV per atom: -4.78
Theoretical density in Mg/m³: 8.362
ΔE_f in meV/atom: 135
Symmetry: Imm2

---

No. 15
Density functional theory data (GGA-PBEsol) for a relaxed ScAlRe3 crystal.

Cell lengths 4.458, 4.458, 4.458 Å; angles 90.00, 90.00, 90.00 degrees
Sites, in units of the cell vectors:
Sc  0.500  0.500  0.500
Re  0.000  0.500  0.000
Re  0.000  0.000  0.500
Re  0.500  0.000  0.000
Al  0.000  0.000  0.000

Summary:
Total energy in eV per atom: -8.76
Theoretical density in Mg/m³: 11.817
ΔE_f in meV/atom: 1379
Symmetry: Pm-3m

---

No. 16
Density functional theory data (GGA-PBEsol) for a relaxed MgCu2 crystal.

Cell lengths 4.268, 4.464, 4.833 Å; angles 117.50, 90.00, 90.00 degrees
Sites, in units of the cell vectors:
Cu  0.750  0.866  0.370
Cu  0.250  0.134  0.630
Cu  0.750  0.496  0.630
Cu  0.250  0.504  0.370
Mg  0.750  0.217  0.000
Mg  0.250  0.783  0.000

Summary:
Total energy in eV per atom: -3.50
Theoretical density in Mg/m³: 6.155
ΔE_f in meV/atom: -37
Symmetry: Cmcm

---

No. 17
Density functional theory data (GGA-PBEsol) for a relaxed TiCl3 crystal.

Cell lengths 5.924, 5.922, 6.976 Å; angles 64.88, 64.87, 59.38 degrees
Sites, in units of the cell vectors:
Ti  0.324  0.325  0.000
Ti  0.676  0.675  0.000
Cl  0.080  0.420  0.763
Cl  0.736  0.077  0.763
Cl  0.587  0.269  0.217
Cl  0.264  0.923  0.237
Cl  0.920  0.580  0.237
Cl  0.413  0.731  0.783

Summary:
Total energy in eV per atom: -5.18
Theoretical density in Mg/m³: 2.788
Symmetry: P-1

---

No. 18
Density functional theory data (GGA-PBEsol) for a relaxed YInCo2Se crystal.

Cell lengths 4.597, 4.597, 5.690 Å; angles 90.00, 90.00, 90.00 degrees
Sites, in units of the cell vectors:
Y  0.000  0.000  0.500
Co  0.000  0.500  0.000
Co  0.500  0.000  0.000
Se  0.500  0.500  0.500
In  0.000  0.000  0.000

Summary:
Total energy in eV per atom: -4.98
Theoretical density in Mg/m³: 5.532
Symmetry: P4/mmm

---

No. 19
Density functional theory data (GGA-PBEsol) for a relaxed Zn5Ag crystal.

Cell lengths 2.759, 4.382, 7.244 Å; angles 90.00, 100.98, 90.00 degrees
Sites, in units of the cell vectors:
Zn  0.222  0.500  0.445
Zn  0.331  0.000  0.662
Zn  0.559  0.500  0.117
Zn  0.669  0.000  0.338
Zn  0.886  0.500  0.773
Ag  0.999  0.000  0.998

Summary:
Total energy in eV per atom: -1.91
Theoretical density in Mg/m³: 8.401
ΔE_f in meV/atom: -39
Symmetry: Amm2

---

No. 20
Density functional theory data (GGA-PBEsol) for a relaxed Na2TlPd2 crystal.

Cell lengths 4.601, 6.799, 6.799 Å; angles 90.00, 90.00, 90.00 degrees
Sites, in units of the cell vectors:
Na  0.500  0.166  0.666
Na  0.500  0.666  0.834
Na  0.500  0.834  0.334
Na  0.500  0.334  0.166
Tl  0.000  0.000  0.000
Tl  0.000  0.500  0.500
Pd  0.000  0.365  0.865
Pd  0.000  0.865  0.635
Pd  0.000  0.635  0.135
Pd  0.000  0.135  0.365

Summary:
Total energy in eV per atom: -3.59
Theoretical density in Mg/m³: 7.232
ΔE_f in meV/atom: -120
Symmetry: P4/mbm